one.
VASP calculation (PBE) on crystalline PmAgSb at its relaxed geometry.

## Properties
Total magnetization   0.00 μB per formula unit
Space-group type   F-43m, No. 216

Cell: 6.861 6.861 6.861 Å, 90.00 90.00 90.00°
Fractional positions:
Pm 0.000 0.000 0.000
Pm 0.000 0.500 0.500
Pm 0.500 0.000 0.500
Pm 0.500 0.500 0.000
Ag 0.250 0.250 0.250
Ag 0.250 0.750 0.750
Ag 0.750 0.250 0.750
Ag 0.750 0.750 0.250
Sb 0.000 0.000 0.500
Sb 0.000 0.500 0.000
Sb 0.500 0.000 0.000
Sb 0.500 0.500 0.500

***

two.
VASP calculation (PBE) on crystalline PmAgSb at its relaxed geometry.

## Properties
Total magnetization   0.00 μB per formula unit
Space-group type   F-43m, No. 216

Cell: 7.157 7.157 7.157 Å, 90.00 90.00 90.00°
Fractional positions:
Pm 0.000 0.000 0.000
Pm 0.000 0.500 0.500
Pm 0.500 0.000 0.500
Pm 0.500 0.500 0.000
Ag 0.250 0.250 0.750
Ag 0.250 0.750 0.250
Ag 0.750 0.250 0.250
Ag 0.750 0.750 0.750
Sb 0.250 0.250 0.250
Sb 0.250 0.750 0.750
Sb 0.750 0.250 0.750
Sb 0.750 0.750 0.250

***

Most stable: one